## Na2PbBr (PBE-GGA)

Data for crystalline Na2PbBr at its relaxed geometry.

Cell lengths 8.2830, 8.2830, 7.2515 Å; angles 90.00, 90.00, 90.00 degrees
Space group I-42d (No. 122)
Inequivalent atoms, fractional coordinates:
Na 0.2093 0.2500 0.1250
Pb 0.0000 0.0000 0.5000
Br 0.0000 0.0000 0.0000

Properties
formation energy without anion corrections	-0.507	eV/atom
excess energy over the best structure of this formula in the dataset	0.2052	eV/atom
total DFT energy (no corrections)	-2.512	eV per atom